(1)
VASP calculation (PBE) on an optimized crystal structure of AlCrGaMo.

Cell and atoms, written as extended XYZ:
```
4
Lattice="0.0000 3.0325 3.0325 3.0325 0.0000 3.0325 3.0325 3.0325 0.0000" Properties=species:S:1:pos:R:3 pbc="T T T"
Al 0.0000 0.0000 0.0000
Cr 3.0325 3.0325 3.0325
Ga 1.5163 1.5163 1.5163
Mo 4.5488 4.5488 4.5488
```

Computed properties:
- SG: F-43m
- N(E_F): 0.218 states/eV/atom
- Formation enthalpy at 0 K: -0.013 eV/atom
- Size of the total moment: 0.000 μB/f.u.
- ρ: 7.28 g/cm3

---

(2)
VASP calculation (PBE) on an optimized crystal structure of AlCrGaNi.

Cell and atoms, written as extended XYZ:
```
4
Lattice="0.0000 2.9819 2.9819 2.9819 0.0000 2.9819 2.9819 2.9819 0.0000" Properties=species:S:1:pos:R:3 pbc="T T T"
Al 0.0000 0.0000 0.0000
Cr 1.4909 1.4909 1.4909
Ga 2.9819 2.9819 2.9819
Ni 4.4728 4.4728 4.4728
```

Computed properties:
- SG: F-43m
- N(E_F): 0.878 states/eV/atom
- Formation enthalpy at 0 K: -0.184 eV/atom
- Size of the total moment: 2.945 μB/f.u.
- ρ: 6.49 g/cm3